1.
VASP calculation (PBE-GGA) on a relaxed structure of Cd3Sb.

Cell: 7.7663 7.7663 4.7394 Å, 90.00 90.00 133.18°
With the nearest neighbours (Å) after each atom.
Element x y z (fractional)
Cd (0.1941, 0.8059, 0.2500)  4 Sb 3.15-3.23, 4 Cd 3.29
Cd (0.8059, 0.1941, 0.7500)  4 Sb 3.15-3.23, 4 Cd 3.29
Cd (0.6949, 0.8365, 0.2500)  3 Cd 2.89-3.11, 2 Sb 3.10
Cd (0.3051, 0.1635, 0.7500)  3 Cd 2.89-3.11, 2 Sb 3.10
Cd (0.8365, 0.6949, 0.7500)  3 Cd 2.89-3.11, 2 Sb 3.10
Cd (0.1635, 0.3051, 0.2500)  3 Cd 2.89-3.11, 2 Sb 3.10
Sb (0.6514, 0.3486, 0.2500)  8 Cd 3.10-3.23
Sb (0.3486, 0.6514, 0.7500)  8 Cd 3.10-3.23

Properties
Energy relative to the elements, uncorrected, eV per atom: 0.07
DOS at the Fermi energy, states/eV/cell: 2.85
E above lowest polymorph, eV/f.u.: 0.109
Calculated volume, Å³/f.u.: 104

2.
VASP calculation (PBE-GGA) on a relaxed structure of CdSb.

Cell: 4.8866 4.9173 6.5577 Å, 106.27 90.25 119.70°
With the nearest neighbours (Å) after each atom.
Element x y z (fractional)
Sb (0.4209, 0.9510, 0.7724)  3 Cd 2.85-2.88, 1 Sb 2.92
Sb (0.5791, 0.0490, 0.2276)  3 Cd 2.85-2.88, 1 Sb 2.92
Cd (0.7407, 0.5811, 0.7056)  3 Sb 2.85-2.88
Cd (0.2593, 0.4189, 0.2944)  3 Sb 2.85-2.88

Properties
Energy relative to the elements, uncorrected, eV per atom: -0.02
DOS at the Fermi energy, states/eV/cell: 0.37
E above lowest polymorph, eV/f.u.: 0.046
Calculated volume, Å³/f.u.: 65

3.
VASP calculation (PBE-GGA) on a relaxed structure of Cd3Sb.

Cell: 3.3342 4.5355 6.4590 Å, 90.00 90.00 90.00°
With the nearest neighbours (Å) after each atom.
Element x y z (fractional)
Sb (0.0000, 0.0000, 0.0000)  10 Cd 3.23-3.28, 2 Sb 3.33
Cd (0.5000, 0.5000, 0.7385)  8 Cd 3.08-3.38, 4 Sb 3.28
Cd (0.0000, 0.0000, 0.5000)  10 Cd 3.21-3.33, 2 Sb 3.23
Cd (0.5000, 0.5000, 0.2615)  8 Cd 3.08-3.38, 4 Sb 3.28

Properties
Energy relative to the elements, uncorrected, eV per atom: 0.07
DOS at the Fermi energy, states/eV/cell: 0.84
E above lowest polymorph, eV/f.u.: 0.079
Calculated volume, Å³/f.u.: 98

4.
VASP calculation (PBE-GGA) on a relaxed structure of CdSb.

Cell: 3.0849 8.5081 8.1759 Å, 90.00 90.00 90.00°
With the nearest neighbours (Å) after each atom.
Element x y z (fractional)
Cd (0.8076, 0.4867, 0.2500)  6 Sb 3.04-3.37, 2 Cd 3.08
Cd (0.8076, 0.0133, 0.7500)  6 Sb 3.04-3.37, 2 Cd 3.08
Cd (0.1924, 0.9867, 0.2500)  6 Sb 3.04-3.37, 2 Cd 3.08
Cd (0.1924, 0.5133, 0.7500)  6 Sb 3.04-3.37, 2 Cd 3.08
Sb (0.2319, 0.2500, 0.0000)  6 Cd 3.04-3.37, 2 Sb 3.08
Sb (0.7681, 0.7500, 0.5000)  6 Cd 3.04-3.37, 2 Sb 3.08
Sb (0.7681, 0.7500, 0.0000)  6 Cd 3.04-3.37, 2 Sb 3.08
Sb (0.2319, 0.2500, 0.5000)  6 Cd 3.04-3.37, 2 Sb 3.08

Properties
Energy relative to the elements, uncorrected, eV per atom: 0.06
DOS at the Fermi energy, states/eV/cell: 3.53
E above lowest polymorph, eV/f.u.: 0.221
Calculated volume, Å³/f.u.: 54

5.
VASP calculation (PBE-GGA) on a relaxed structure of CdSb6.

Cell: 7.3434 7.3434 7.3434 Å, 109.47 109.47 109.47°
With the nearest neighbours (Å) after each atom.
Element x y z (fractional)
Cd (0.0000, 0.0000, 0.0000)  24 Sb 4.74
Sb (0.2500, 0.7500, 0.5000)  4 Sb 3.00
Sb (0.5000, 0.7500, 0.2500)  4 Sb 3.00
Sb (0.2500, 0.5000, 0.7500)  4 Sb 3.00
Sb (0.7500, 0.2500, 0.5000)  4 Sb 3.00
Sb (0.5000, 0.2500, 0.7500)  4 Sb 3.00
Sb (0.7500, 0.5000, 0.2500)  4 Sb 3.00

Properties
Energy relative to the elements, uncorrected, eV per atom: 0.36
DOS at the Fermi energy, states/eV/cell: 3.36
Calculated volume, Å³/f.u.: 305

6.
VASP calculation (PBE-GGA) on a relaxed structure of CdSb.

Cell: 3.2534 4.9102 6.7908 Å, 90.00 90.00 90.00°
With the nearest neighbours (Å) after each atom.
Element x y z (fractional)
Sb (0.5000, 0.0000, 0.5885)  2 Cd 2.93, 2 Sb 3.25
Sb (0.0000, 0.5000, 0.2448)  2 Cd 2.93, 2 Sb 3.25
Cd (0.0000, 0.0000, 0.0101)  2 Sb 2.93, 6 Cd 3.21-3.25
Cd (0.5000, 0.5000, 0.8232)  2 Sb 2.93, 6 Cd 3.21-3.25

Properties
Energy relative to the elements, uncorrected, eV per atom: 0.10
DOS at the Fermi energy, states/eV/cell: 1.55
E above lowest polymorph, eV/f.u.: 0.292
Calculated volume, Å³/f.u.: 54